# 1
YCoAg2: relaxed, PBE-GGA.

```
YCoAg2
1.0
-2.8075 2.2050 -1.7593
-1.9680 -3.3092 -1.0072
-2.3327 0.1840 3.9532
Ag Co Y
2 1 1
direct
0.0000 0.0000 0.0000
0.5000 0.5000 0.0000
0.5000 0.0000 0.5000
0.0000 0.5000 0.5000
```

Results
symmetry	P4/mmm, No. 123
E_form	0.0226	eV/atom

# 2
Ba3Au: relaxed, PBE-GGA.

```
Ba3Au
1.0
-5.0378 -0.8811 0.6696
0.9102 -5.5510 -0.4569
0.9708 -0.3988 6.7793
Au Ba
1 3
direct
0.0000 0.0000 0.0605
0.5000 0.0000 0.3699
0.5000 0.5000 0.8819
0.0000 0.5000 0.3544
```

Results
symmetry	Pmm2, No. 25
E_form	-0.1406	eV/atom

- Among the records above, which one has the highest E_form?
  YCoAg2